[1]
# La2CrAu

A relaxed La2CrAu crystal (GGA-PBEsol, Alexandria).

Cell: 3.6506 3.6506 7.2632 Å, 90.00 90.00 90.00°
Sites, in units of the cell vectors:
La  0.0000  0.0000  0.0000
La  0.5000  0.5000  0.3244
Cr  0.5000  0.5000  0.7447
Au  0.0000  0.0000  0.5695

- DOS at the Fermi energy: 3.9 states/eV per cell
- Uncorrected energy: -6.140 eV/atom
- Spin magnetization: 3.77 μB/cell
- Volume: 24.20 A^3/atom
- Calculated formation energy: 0.30 eV per formula unit

***

[2]
# Rb2LaCrAu

A relaxed Rb2LaCrAu crystal (GGA-PBEsol, Alexandria).

Cell: 6.8754 6.8754 5.3032 Å, 90.00 90.00 90.00°
Sites, in units of the cell vectors:
Rb  0.0000  0.5000  0.0000
Rb  0.5000  0.0000  0.0000
La  0.0000  0.0000  0.0000
Cr  0.5000  0.5000  0.5000
Au  0.0000  0.0000  0.5000

- DOS at the Fermi energy: 6.4 states/eV per cell
- Uncorrected energy: -3.080 eV/atom
- Spin magnetization: 3.51 μB/cell
- Volume: 50.14 A^3/atom
- Calculated formation energy: 6.16 eV per formula unit

***

[3]
# LiCr2Au

A relaxed LiCr2Au crystal (GGA-PBEsol, Alexandria).

Cell: 2.8934 4.4616 8.5035 Å, 90.00 90.00 90.00°
Sites, in units of the cell vectors:
Li  0.0000  0.0000  0.0000
Li  0.5000  0.5000  0.0000
Cr  0.0000  0.0000  0.5369
Cr  0.0000  0.5000  0.7280
Cr  0.5000  0.0000  0.7280
Cr  0.5000  0.5000  0.5369
Au  0.0000  0.5000  0.2589
Au  0.5000  0.0000  0.2589

- DOS at the Fermi energy: 5.9 states/eV per cell
- Uncorrected energy: -6.389 eV/atom
- Spin magnetization: 0.00 μB/cell
- Volume: 13.72 A^3/atom
- Calculated formation energy: 0.82 eV per formula unit

***

[4]
# LiCrAu2

A relaxed LiCrAu2 crystal (GGA-PBEsol, Alexandria).

Cell: 3.0794 3.1059 6.3414 Å, 90.00 90.00 90.00°
Sites, in units of the cell vectors:
Li  0.0000  0.0000  0.0000
Cr  0.0000  0.0000  0.5000
Au  0.5000  0.5000  0.2398
Au  0.5000  0.5000  0.7602

- DOS at the Fermi energy: 2.3 states/eV per cell
- Uncorrected energy: -5.092 eV/atom
- Spin magnetization: 3.98 μB/cell
- Volume: 15.16 A^3/atom
- Calculated formation energy: -0.31 eV per formula unit

***

[5]
# LiCrAu2

A relaxed LiCrAu2 crystal (GGA-PBEsol, Alexandria).

Cell: 9.4189 2.9550 4.5903 Å, 90.00 101.43 90.00°
Sites, in units of the cell vectors:
Li  0.0000  0.0000  0.0000
Li  0.5000  0.5000  0.0000
Cr  0.2350  0.0000  0.6742
Cr  0.7350  0.5000  0.6742
Au  0.2417  0.5000  0.1737
Au  0.4938  0.0000  0.4989
Au  0.7417  0.0000  0.1737
Au  0.9938  0.5000  0.4989

- DOS at the Fermi energy: 4.3 states/eV per cell
- Uncorrected energy: -5.049 eV/atom
- Spin magnetization: 7.85 μB/cell
- Volume: 15.65 A^3/atom
- Calculated formation energy: -0.14 eV per formula unit

***

[6]
# MgCrAu2

A relaxed MgCrAu2 crystal (GGA-PBEsol, Alexandria).

Cell: 3.0065 3.0065 26.0365 Å, 90.00 90.00 120.00°
Sites, in units of the cell vectors:
Mg  0.0000  0.0000  0.0000
Mg  0.3333  0.6667  0.6667
Mg  0.6667  0.3333  0.3333
Cr  0.0000  0.0000  0.5000
Cr  0.3333  0.6667  0.1667
Cr  0.6667  0.3333  0.8333
Au  0.0000  0.0000  0.2479
Au  0.0000  0.0000  0.7521
Au  0.3333  0.6667  0.4188
Au  0.3333  0.6667  0.9146
Au  0.6667  0.3333  0.0854
Au  0.6667  0.3333  0.5812

- DOS at the Fermi energy: 10.0 states/eV per cell
- Uncorrected energy: -4.837 eV/atom
- Spin magnetization: 11.04 μB/cell
- Volume: 16.98 A^3/atom
- Calculated formation energy: 0.46 eV per formula unit

***

[7]
# MgCr2Au

A relaxed MgCr2Au crystal (GGA-PBEsol, Alexandria).

Cell: 4.0382 4.0382 3.8933 Å, 90.00 90.00 90.00°
Sites, in units of the cell vectors:
Mg  0.0000  0.0000  0.0000
Cr  0.0000  0.5000  0.5000
Cr  0.5000  0.0000  0.5000
Au  0.5000  0.5000  0.0000

- DOS at the Fermi energy: 5.0 states/eV per cell
- Uncorrected energy: -6.092 eV/atom
- Spin magnetization: 6.99 μB/cell
- Volume: 15.87 A^3/atom
- Calculated formation energy: 1.76 eV per formula unit

***

[8]
# MgCrAu2

A relaxed MgCrAu2 crystal (GGA-PBEsol, Alexandria).

Cell: 3.1985 3.1985 6.4763 Å, 90.00 90.00 90.00°
Sites, in units of the cell vectors:
Mg  0.0000  0.0000  0.0000
Cr  0.0000  0.0000  0.5000
Au  0.5000  0.5000  0.2576
Au  0.5000  0.5000  0.7424

- DOS at the Fermi energy: 1.9 states/eV per cell
- Uncorrected energy: -5.079 eV/atom
- Spin magnetization: 3.80 μB/cell
- Volume: 16.56 A^3/atom
- Calculated formation energy: -0.51 eV per formula unit